#a
This record from OQMD via LeMat-Bulk describes a relaxed structure of Hf31SbO64. The functional is PBE.

a b c (Å): 10.033 10.083 10.463
angles (deg): 90.03 90.03 90.07
Space group P1 (No. 1)
One atom of each set of equivalent atoms:
Hf1 0.000 0.000 0.000
Hf2 0.000 0.000 0.498
Hf3 0.000 0.251 0.281
Hf4 0.000 0.251 0.782
Hf5 0.000 0.501 0.499
Hf6 0.266 0.251 0.032
Hf7 0.266 0.502 0.749
Hf8 0.267 0.000 0.249
Hf9 0.267 0.000 0.749
Hf10 0.267 0.251 0.532
Hf11 0.267 0.501 0.249
Hf12 0.267 0.750 0.032
Hf13 0.267 0.751 0.532
Hf14 0.496 0.252 0.784
Hf15 0.497 0.001 0.498
Hf16 0.499 0.002 0.001
Hf17 0.499 0.251 0.282
Hf18 0.499 0.501 0.499
Hf19 0.499 0.749 0.781
Hf20 0.500 0.502 0.999
Hf21 0.500 0.751 0.282
Hf22 0.766 0.251 0.032
Hf23 0.767 0.000 0.249
Hf24 0.767 0.253 0.529
Hf25 0.767 0.500 0.749
Hf26 0.767 0.501 0.249
Hf27 0.768 0.750 0.032
Hf28 0.769 0.750 0.532
Hf29 0.999 0.500 0.998
Hf30 0.999 0.751 0.282
Hf31 0.999 0.751 0.783
Sb1 0.760 0.008 0.746
O1 0.097 0.183 0.449
O2 0.097 0.183 0.949
O3 0.097 0.431 0.831
O4 0.097 0.682 0.449
O5 0.098 0.432 0.331
O6 0.098 0.932 0.331
O7 0.099 0.679 0.949
O8 0.099 0.932 0.831
O9 0.168 0.181 0.199
O10 0.168 0.431 0.082
O11 0.169 0.182 0.699
O12 0.169 0.432 0.581
O13 0.169 0.682 0.199
O14 0.169 0.683 0.699
O15 0.169 0.931 0.082
O16 0.171 0.934 0.580
O17 0.361 0.126 0.884
O18 0.362 0.126 0.383
O19 0.362 0.377 0.899
O20 0.362 0.876 0.397
O21 0.363 0.376 0.398
O22 0.363 0.626 0.383
O23 0.363 0.626 0.882
O24 0.363 0.876 0.898
O25 0.403 0.127 0.133
O26 0.403 0.376 0.148
O27 0.403 0.377 0.649
O28 0.403 0.626 0.632
O29 0.404 0.127 0.633
O30 0.404 0.626 0.132
O31 0.404 0.876 0.148
O32 0.404 0.876 0.647
O33 0.590 0.935 0.830
O34 0.596 0.433 0.831
O35 0.597 0.182 0.449
O36 0.597 0.182 0.949
O37 0.597 0.932 0.331
O38 0.598 0.432 0.331
O39 0.598 0.682 0.449
O40 0.598 0.683 0.949
O41 0.667 0.186 0.698
O42 0.668 0.182 0.199
O43 0.669 0.433 0.081
O44 0.669 0.433 0.581
O45 0.669 0.682 0.200
O46 0.669 0.683 0.699
O47 0.669 0.932 0.080
O48 0.669 0.933 0.578
O49 0.862 0.375 0.898
O50 0.862 0.876 0.397
O51 0.863 0.126 0.382
O52 0.863 0.377 0.397
O53 0.863 0.624 0.883
O54 0.863 0.626 0.383
O55 0.864 0.127 0.885
O56 0.871 0.871 0.905
O57 0.903 0.126 0.133
O58 0.903 0.128 0.631
O59 0.903 0.376 0.148
O60 0.903 0.624 0.633
O61 0.903 0.876 0.150
O62 0.904 0.376 0.648
O63 0.904 0.626 0.133
O64 0.910 0.872 0.642

crystal system = triclinic



#b
This record from OQMD via LeMat-Bulk describes a relaxed structure of Hf31SbO64. The functional is PBE.

a b c (Å): 10.185 10.348 10.537
angles (deg): 90.01 99.37 90.06
Space group P1 (No. 1)
One atom of each set of equivalent atoms:
Hf1 0.000 0.000 0.000
Hf2 0.000 0.001 0.499
Hf3 0.000 0.292 0.250
Hf4 0.000 0.500 0.500
Hf5 0.000 0.792 0.749
Hf6 0.001 0.291 0.749
Hf7 0.001 0.500 0.999
Hf8 0.001 0.792 0.250
Hf9 0.222 0.250 0.540
Hf10 0.223 0.251 0.043
Hf11 0.223 0.542 0.292
Hf12 0.223 0.750 0.541
Hf13 0.224 0.042 0.291
Hf14 0.224 0.542 0.791
Hf15 0.224 0.749 0.042
Hf16 0.500 0.000 0.500
Hf17 0.500 0.292 0.250
Hf18 0.500 0.499 0.500
Hf19 0.501 0.500 0.000
Hf20 0.501 0.792 0.250
Hf21 0.502 0.292 0.750
Hf22 0.502 0.789 0.749
Hf23 0.506 0.999 0.003
Hf24 0.723 0.250 0.542
Hf25 0.723 0.750 0.541
Hf26 0.724 0.042 0.293
Hf27 0.724 0.042 0.792
Hf28 0.724 0.250 0.042
Hf29 0.724 0.542 0.292
Hf30 0.725 0.541 0.792
Hf31 0.725 0.749 0.042
Sb1 0.232 0.040 0.797
O1 0.079 0.148 0.628
O2 0.084 0.153 0.889
O3 0.085 0.142 0.136
O4 0.085 0.150 0.383
O5 0.085 0.642 0.635
O6 0.085 0.649 0.885
O7 0.085 0.650 0.385
O8 0.086 0.642 0.136
O9 0.135 0.897 0.651
O10 0.138 0.392 0.405
O11 0.138 0.889 0.907
O12 0.139 0.400 0.155
O13 0.139 0.401 0.655
O14 0.139 0.892 0.405
O15 0.139 0.900 0.156
O16 0.140 0.393 0.905
O17 0.325 0.192 0.725
O18 0.326 0.103 0.475
O19 0.326 0.602 0.475
O20 0.326 0.691 0.726
O21 0.327 0.189 0.225
O22 0.327 0.603 0.975
O23 0.327 0.689 0.226
O24 0.329 0.103 0.977
O25 0.397 0.439 0.316
O26 0.398 0.352 0.567
O27 0.398 0.353 0.066
O28 0.398 0.853 0.066
O29 0.398 0.853 0.567
O30 0.398 0.939 0.316
O31 0.399 0.440 0.816
O32 0.406 0.940 0.818
O33 0.585 0.142 0.636
O34 0.585 0.150 0.386
O35 0.585 0.642 0.136
O36 0.585 0.642 0.635
O37 0.585 0.650 0.386
O38 0.586 0.142 0.137
O39 0.586 0.150 0.886
O40 0.586 0.649 0.886
O41 0.638 0.392 0.406
O42 0.638 0.892 0.406
O43 0.639 0.392 0.906
O44 0.639 0.400 0.156
O45 0.639 0.400 0.656
O46 0.639 0.900 0.656
O47 0.640 0.891 0.907
O48 0.640 0.900 0.157
O49 0.825 0.103 0.475
O50 0.826 0.102 0.976
O51 0.826 0.190 0.225
O52 0.826 0.190 0.725
O53 0.826 0.603 0.475
O54 0.826 0.689 0.725
O55 0.827 0.602 0.975
O56 0.827 0.689 0.225
O57 0.896 0.355 0.566
O58 0.896 0.854 0.566
O59 0.897 0.439 0.316
O60 0.897 0.939 0.316
O61 0.898 0.352 0.066
O62 0.898 0.439 0.816
O63 0.898 0.852 0.067
O64 0.898 0.940 0.816

crystal system = triclinic



Relative energies, meV per atom: #a 27; #b 0.